Entry 1:
Density functional theory data (PBE) for a relaxed HfTlAgTe3 crystal.

- Raw total energy: -4.63 eV/atom
- Polymorph energy (0 for the lowest one): 0.001 eV/atom

Cell: 15.265 4.178 11.312 Å, 90.00 90.00 90.00°
Fractional coordinates of all 24 atoms:
Te (0.409, 0.750, 0.435)
Te (0.356, 0.250, 0.729)
Te (0.607, 0.750, 0.864)
Te (0.909, 0.750, 0.065)
Te (0.393, 0.250, 0.136)
Te (0.644, 0.750, 0.271)
Te (0.893, 0.250, 0.364)
Te (0.107, 0.750, 0.636)
Te (0.591, 0.250, 0.565)
Te (0.144, 0.750, 0.229)
Te (0.091, 0.250, 0.935)
Te (0.856, 0.250, 0.771)
Hf (0.015, 0.250, 0.179)
Hf (0.985, 0.750, 0.821)
Hf (0.485, 0.750, 0.679)
Hf (0.515, 0.250, 0.321)
Tl (0.270, 0.750, 0.951)
Tl (0.730, 0.250, 0.049)
Tl (0.230, 0.250, 0.451)
Tl (0.770, 0.750, 0.549)
Ag (0.017, 0.750, 0.407)
Ag (0.983, 0.250, 0.593)
Ag (0.483, 0.250, 0.907)
Ag (0.517, 0.750, 0.093)

Entry 2:
Density functional theory data (PBE) for a relaxed HfThAg crystal.

- Raw total energy: -6.23 eV/atom
- DFT formation energy: 501.7 meV per atom
- Polymorph energy (0 for the lowest one): 0.000 eV/atom

Cell: 4.891 4.891 4.891 Å, 60.00 60.00 60.00°
Each line ends with the local moment (μB).
Fractional coordinates of all 3 atoms:
Ag (0.000, 0.000, 0.000)  0.01
Hf (0.250, 0.250, 0.250)  0.06
Th (0.750, 0.750, 0.750)  0.03

Entry 3:
Density functional theory data (PBE) for a relaxed HfTlAg2 crystal.

- Raw total energy: -4.35 eV/atom

Cell: 4.824 4.824 4.824 Å, 60.00 60.00 60.00°
Fractional coordinates of all 4 atoms:
Ag (0.000, 0.000, 0.000)
Ag (0.750, 0.750, 0.750)
Hf (0.250, 0.250, 0.250)
Tl (0.500, 0.500, 0.500)

Entry 4:
Density functional theory data (PBE) for a relaxed Hf2TlAg2 crystal.

- Raw total energy: -5.10 eV/atom
- Polymorph energy (0 for the lowest one): 0.106 eV/atom

Cell: 7.260 7.260 7.260 Å, 147.29 147.29 46.94°
Each line ends with the local moment (μB).
Fractional coordinates of all 5 atoms:
Ag (0.250, 0.750, 0.500)  0.02
Ag (0.750, 0.250, 0.500)  0.02
Tl (0.000, 0.000, 0.000)  -0.01
Hf (0.398, 0.398, 0.000)  0.39
Hf (0.602, 0.602, 0.000)  0.39

Entry 5:
Density functional theory data (PBE) for a relaxed Hf2TlAg2 crystal.

- Raw total energy: -5.21 eV/atom
- Polymorph energy (0 for the lowest one): 0.000 eV/atom

Cell: 6.853 6.853 6.853 Å, 143.17 143.17 53.07°
Fractional coordinates of all 5 atoms:
Ag (0.605, 0.605, 0.000)
Ag (0.395, 0.395, 0.000)
Tl (0.000, 0.000, 0.000)
Hf (0.750, 0.250, 0.500)
Hf (0.250, 0.750, 0.500)

Entry 6:
Density functional theory data (PBE) for a relaxed TmHfAg crystal.

- Raw total energy: -4.92 eV/atom
- DFT formation energy: 833.6 meV per atom
- Polymorph energy (0 for the lowest one): 0.000 eV/atom

Cell: 4.772 4.772 4.772 Å, 60.00 60.00 60.00°
Fractional coordinates of all 3 atoms:
Ag (0.250, 0.250, 0.250)
Tm (0.750, 0.750, 0.750)
Hf (0.000, 0.000, 0.000)

Entry 7:
Density functional theory data (PBE) for a relaxed TmHfAg4 crystal.

- Raw total energy: -4.46 eV/atom
- DFT formation energy: -176.4 meV per atom

Cell: 3.598 3.598 9.065 Å, 90.00 90.00 90.00°
Each line ends with the local moment (μB).
Fractional coordinates of all 6 atoms:
Ag (0.500, 0.500, 0.162)  0.01
Ag (0.000, 0.000, 0.324)  0.00
Ag (0.000, 0.000, 0.676)  0.00
Ag (0.500, 0.500, 0.838)  0.01
Tm (0.500, 0.500, 0.500)  -0.01
Hf (0.000, 0.000, 0.000)  0.14

Entry 8:
Density functional theory data (PBE) for a relaxed HfAg2W crystal.

- Raw total energy: -6.53 eV/atom
- DFT formation energy: 614.0 meV per atom

Cell: 4.680 4.680 4.680 Å, 60.00 60.00 60.00°
Each line ends with the local moment (μB).
Fractional coordinates of all 4 atoms:
Ag (0.000, 0.000, 0.000)  0.03
Ag (0.750, 0.750, 0.750)  0.09
Hf (0.250, 0.250, 0.250)  0.33
W (0.500, 0.500, 0.500)  1.11